Entry 1:
Material: Y2HfMnB
Method: DFT, GGA-PBE
State: optimized geometry

Output
Total DFT energy (no corrections) = -6.9807 eV/atom
Space-group type = P4/mmm
Energy of formation from the pure elements = 17.6 kcal/mol of atoms

Geometry as POSCAR:
```
Y2HfMnB
1.0
5.2251 0.0000 0.0000
0.0000 5.2251 0.0000
0.0000 0.0000 3.9442
Y Hf Mn B
2 1 1 1
Direct
0.0000 0.5000 0.0000
0.5000 0.0000 0.0000
0.0000 0.0000 0.5000
0.5000 0.5000 0.0000
0.5000 0.5000 0.5000
```

Entry 2:
Material: HfBMo3
Method: DFT, GGA-PBE
State: optimized geometry

Output
Total DFT energy (no corrections) = -6.9276 eV/atom
Space-group type = Pm-3m
Polymorph energy (0 for the lowest one) = 2832 meV per atom
Energy of formation from the pure elements = 66.8 kcal/mol of atoms

Geometry as POSCAR:
```
HfBMo3
1.0
4.7495 0.0000 0.0000
0.0000 4.7495 0.0000
0.0000 0.0000 4.7495
Hf B Mo
1 1 3
Direct
0.0000 0.0000 0.0000
0.5000 0.5000 0.5000
0.0000 0.0000 0.5000
0.0000 0.5000 0.0000
0.5000 0.0000 0.0000
```

Entry 3:
Material: Hf2B2Mo
Method: DFT, GGA-PBE
State: optimized geometry

Output
Total DFT energy (no corrections) = -9.4517 eV/atom
Space-group type = P4/mbm
Polymorph energy (0 for the lowest one) = 0 meV per atom
Energy of formation from the pure elements = -14.6 kcal/mol of atoms

Geometry as POSCAR:
```
Hf2B2Mo
1.0
6.3028 0.0000 0.0000
0.0000 6.3028 0.0000
0.0000 0.0000 3.3829
Hf B Mo
4 4 2
Direct
0.1843 0.3157 0.0000
0.3157 0.8157 0.0000
0.6843 0.1843 0.0000
0.8157 0.6843 0.0000
0.1031 0.6031 0.5000
0.3969 0.1031 0.5000
0.6031 0.8969 0.5000
0.8969 0.3969 0.5000
0.0000 0.0000 0.5000
0.5000 0.5000 0.5000
```